HoThGeAu: relaxed, PBE-GGA.

**Space-group type**: No. 216
**DOS(E_F)**: 5.8 states/eV/f.u.
**E**: -5.590 eV/atom
**Energy of formation**: -0.62 eV per atom
**E above lowest polymorph**: 56 kJ/mol of formula units

Unit cell a=5.164 b=5.164 c=5.164 alpha=60.00 beta=60.00 gamma=60.00
Element x y z (fractional)
Ho1 0.000 0.000 0.000
Au1 0.750 0.750 0.750
Ge1 0.250 0.250 0.250
Th1 0.500 0.500 0.500


MgAlAg2: relaxed, PBE-GGA.

**Space-group type**: No. 160
**DOS(E_F)**: 1.5 states/eV/f.u.
**E**: -2.795 eV/atom
**Energy of formation**: -0.03 eV per atom
**E above lowest polymorph**: 53 kJ/mol of formula units

Unit cell a=9.328 b=9.328 c=9.328 alpha=18.74 beta=18.74 gamma=18.74
Element x y z (fractional)
Mg1 0.751 0.751 0.751
Al1 0.502 0.502 0.502
Ag1 0.000 0.000 0.000
Ag2 0.247 0.247 0.247


Li2BeOs: relaxed, PBE-GGA.

**Space-group type**: No. 65
**DOS(E_F)**: 1.4 states/eV/f.u.
**E**: -4.510 eV/atom
**Energy of formation**: 0.19 eV per atom

Unit cell a=4.924 b=4.924 c=2.475 alpha=90.00 beta=90.00 gamma=123.88
Element x y z (fractional)
Os1 0.500 0.000 0.500
Li1 0.000 0.000 0.000
Be1 0.000 0.500 0.500
Li2 0.500 0.500 0.000


Which value of DOS(E_F) does entry 3 give?
1.4 states/eV/f.u.